(1)
! Sc3TcNi | Alexandria | PBE | relaxed; values from VASP
! * calculated formation energy: 0.337 eV/atom
! * crystal system: cubic
! * energy: -6.69 eV per atom
! * offset from the most stable computed form: 647 meV/atom
&SYSTEM
  ibrav = 0, nat = 5, ntyp = 3
/
ATOMIC_SPECIES
Sc 44.96 Sc.upf
Tc 98.00 Tc.upf
Ni 58.69 Ni.upf
CELL_PARAMETERS angstrom
4.726 0.000 0.000
0.000 4.726 0.000
0.000 0.000 4.726
ATOMIC_POSITIONS crystal
Sc 0.000 0.000 0.500
Sc 0.000 0.500 0.000
Sc 0.500 0.000 0.000
Tc 0.500 0.500 0.500
Ni 0.000 0.000 0.000

(2)
! Sc2TcNi | Alexandria | PBE | relaxed; values from VASP
! * calculated formation energy: 0.228 eV/atom
! * crystal system: trigonal
! * energy: -6.97 eV per atom
! * offset from the most stable computed form: 561 meV/atom
&SYSTEM
  ibrav = 0, nat = 12, ntyp = 3
/
ATOMIC_SPECIES
Sc 44.96 Sc.upf
Tc 98.00 Tc.upf
Ni 58.69 Ni.upf
CELL_PARAMETERS angstrom
3.100 0.000 0.000
-1.550 2.685 0.000
0.000 0.000 26.365
ATOMIC_POSITIONS crystal
Sc 0.000 0.000 0.091
Sc 0.000 0.000 0.909
Sc 0.333 0.667 0.575
Sc 0.333 0.667 0.758
Sc 0.667 0.333 0.242
Sc 0.667 0.333 0.425
Tc 0.000 0.000 0.500
Tc 0.333 0.667 0.167
Tc 0.667 0.333 0.833
Ni 0.000 0.000 0.000
Ni 0.333 0.667 0.667
Ni 0.667 0.333 0.333

(3)
! ScTcNi2 | Alexandria | PBE | relaxed; values from VASP
! * calculated formation energy: -0.160 eV/atom
! * crystal system: monoclinic
! * energy: -7.22 eV per atom
! * offset from the most stable computed form: 0 meV/atom
&SYSTEM
  ibrav = 0, nat = 4, ntyp = 3
/
ATOMIC_SPECIES
Sc 44.96 Sc.upf
Tc 98.00 Tc.upf
Ni 58.69 Ni.upf
CELL_PARAMETERS angstrom
2.746 0.000 0.000
0.000 4.283 0.000
-0.314 0.000 4.704
ATOMIC_POSITIONS crystal
Sc 0.000 0.000 0.000
Tc 0.890 0.500 0.388
Ni 0.456 0.000 0.515
Ni 0.458 0.500 0.849

(4)
! Sc2Tc3Ni | Alexandria | PBE | relaxed; values from VASP
! * calculated formation energy: -0.331 eV/atom
! * crystal system: trigonal
! * energy: -8.59 eV per atom
&SYSTEM
  ibrav = 0, nat = 6, ntyp = 3
/
ATOMIC_SPECIES
Sc 44.96 Sc.upf
Tc 98.00 Tc.upf
Ni 58.69 Ni.upf
CELL_PARAMETERS angstrom
2.548 1.471 4.364
-2.548 1.471 4.364
0.000 -2.942 4.364
ATOMIC_POSITIONS crystal
Sc 0.124 0.124 0.124
Sc 0.876 0.876 0.876
Tc 0.000 0.500 0.500
Tc 0.500 0.000 0.500
Tc 0.500 0.500 0.000
Ni 0.500 0.500 0.500

(5)
! Sc12TcNi6 | Alexandria | PBE | relaxed; values from VASP
! * calculated formation energy: -0.297 eV/atom
! * crystal system: cubic
! * energy: -6.67 eV per atom
&SYSTEM
  ibrav = 0, nat = 19, ntyp = 3
/
ATOMIC_SPECIES
Sc 44.96 Sc.upf
Tc 98.00 Tc.upf
Ni 58.69 Ni.upf
CELL_PARAMETERS angstrom
-4.467 4.467 4.467
4.467 -4.467 4.467
4.467 4.467 -4.467
ATOMIC_POSITIONS crystal
Sc 0.109 0.818 0.291
Sc 0.182 0.291 0.472
Sc 0.182 0.709 0.891
Sc 0.291 0.109 0.818
Sc 0.291 0.472 0.182
Sc 0.472 0.182 0.291
Sc 0.528 0.818 0.709
Sc 0.709 0.528 0.818
Sc 0.709 0.891 0.182
Sc 0.818 0.291 0.109
Sc 0.818 0.709 0.528
Sc 0.891 0.182 0.709
Tc 0.000 0.000 0.000
Ni 0.134 0.634 0.500
Ni 0.366 0.500 0.866
Ni 0.500 0.134 0.634
Ni 0.500 0.866 0.366
Ni 0.634 0.500 0.134
Ni 0.866 0.366 0.500

(6)
! Sc2TcNi | Alexandria | PBE | relaxed; values from VASP
! * calculated formation energy: -0.324 eV/atom
! * crystal system: cubic
! * energy: -7.53 eV per atom
! * offset from the most stable computed form: 9 meV/atom
&SYSTEM
  ibrav = 0, nat = 16, ntyp = 3
/
ATOMIC_SPECIES
Sc 44.96 Sc.upf
Tc 98.00 Tc.upf
Ni 58.69 Ni.upf
CELL_PARAMETERS angstrom
6.404 0.000 0.000
0.000 6.404 0.000
0.000 0.000 6.404
ATOMIC_POSITIONS crystal
Sc 0.250 0.250 0.250
Sc 0.250 0.250 0.750
Sc 0.250 0.750 0.250
Sc 0.250 0.750 0.750
Sc 0.750 0.250 0.250
Sc 0.750 0.250 0.750
Sc 0.750 0.750 0.250
Sc 0.750 0.750 0.750
Tc 0.000 0.000 0.000
Tc 0.000 0.500 0.500
Tc 0.500 0.000 0.500
Tc 0.500 0.500 0.000
Ni 0.000 0.000 0.500
Ni 0.000 0.500 0.000
Ni 0.500 0.000 0.000
Ni 0.500 0.500 0.500

(7)
! Sc8Tc2Ni | Alexandria | PBE | relaxed; values from VASP
! * calculated formation energy: -0.202 eV/atom
! * crystal system: monoclinic
! * energy: -7.22 eV per atom
&SYSTEM
  ibrav = 0, nat = 11, ntyp = 3
/
ATOMIC_SPECIES
Sc 44.96 Sc.upf
Tc 98.00 Tc.upf
Ni 58.69 Ni.upf
CELL_PARAMETERS angstrom
8.064 -2.274 0.000
8.064 2.274 0.000
-2.108 0.000 6.099
ATOMIC_POSITIONS crystal
Sc 0.024 0.024 0.285
Sc 0.201 0.201 0.799
Sc 0.337 0.337 0.548
Sc 0.401 0.401 0.052
Sc 0.599 0.599 0.948
Sc 0.663 0.663 0.452
Sc 0.799 0.799 0.201
Sc 0.976 0.976 0.715
Tc 0.179 0.179 0.192
Tc 0.821 0.821 0.808
Ni 0.500 0.500 0.500

(8)
! ScTcNi2 | Alexandria | PBE | relaxed; values from VASP
! * calculated formation energy: -0.086 eV/atom
! * crystal system: orthorhombic
! * energy: -7.15 eV per atom
! * offset from the most stable computed form: 73 meV/atom
&SYSTEM
  ibrav = 0, nat = 4, ntyp = 3
/
ATOMIC_SPECIES
Sc 44.96 Sc.upf
Tc 98.00 Tc.upf
Ni 58.69 Ni.upf
CELL_PARAMETERS angstrom
2.959 0.000 0.000
0.000 3.240 0.000
0.000 0.000 5.916
ATOMIC_POSITIONS crystal
Sc 0.000 0.000 0.000
Tc 0.500 0.500 0.686
Ni 0.000 0.000 0.475
Ni 0.500 0.500 0.258

(9)
! Sc2TcNi | Alexandria | PBE | relaxed; values from VASP
! * calculated formation energy: -0.333 eV/atom
! * crystal system: tetragonal
! * energy: -7.54 eV per atom
! * offset from the most stable computed form: 0 meV/atom
&SYSTEM
  ibrav = 0, nat = 4, ntyp = 3
/
ATOMIC_SPECIES
Sc 44.96 Sc.upf
Tc 98.00 Tc.upf
Ni 58.69 Ni.upf
CELL_PARAMETERS angstrom
3.241 0.000 0.000
0.000 3.241 0.000
0.000 0.000 6.310
ATOMIC_POSITIONS crystal
Sc 0.000 0.000 0.250
Sc 0.000 0.000 0.750
Tc 0.500 0.500 0.000
Ni 0.500 0.500 0.500

(10)
! Sc3TcNi2 | Alexandria | PBE | relaxed; values from VASP
! * calculated formation energy: -0.418 eV/atom
! * crystal system: orthorhombic
! * energy: -7.24 eV per atom
&SYSTEM
  ibrav = 0, nat = 12, ntyp = 3
/
ATOMIC_SPECIES
Sc 44.96 Sc.upf
Tc 98.00 Tc.upf
Ni 58.69 Ni.upf
CELL_PARAMETERS angstrom
2.269 -6.817 0.000
2.269 6.817 0.000
0.000 0.000 6.330
ATOMIC_POSITIONS crystal
Sc 0.000 0.000 0.249
Sc 0.000 0.000 0.751
Sc 0.333 0.667 0.248
Sc 0.333 0.667 0.752
Sc 0.667 0.333 0.248
Sc 0.667 0.333 0.752
Tc 0.164 0.836 0.000
Tc 0.836 0.164 0.000
Ni 0.165 0.835 0.500
Ni 0.500 0.500 0.000
Ni 0.500 0.500 0.500
Ni 0.835 0.165 0.500

(11)
! Sc4TcNi2 | Alexandria | PBE | relaxed; values from VASP
! * calculated formation energy: -0.316 eV/atom
! * crystal system: trigonal
! * energy: -7.07 eV per atom
&SYSTEM
  ibrav = 0, nat = 7, ntyp = 3
/
ATOMIC_SPECIES
Sc 44.96 Sc.upf
Tc 98.00 Tc.upf
Ni 58.69 Ni.upf
CELL_PARAMETERS angstrom
2.253 1.301 7.260
-2.253 1.301 7.260
0.000 -2.601 7.260
ATOMIC_POSITIONS crystal
Sc 0.123 0.123 0.123
Sc 0.375 0.375 0.375
Sc 0.625 0.625 0.625
Sc 0.877 0.877 0.877
Tc 0.500 0.500 0.500
Ni 0.247 0.247 0.247
Ni 0.753 0.753 0.753

(12)
! ScTcNi2 | Alexandria | PBE | relaxed; values from VASP
! * calculated formation energy: -0.094 eV/atom
! * crystal system: tetragonal
! * energy: -7.16 eV per atom
! * offset from the most stable computed form: 66 meV/atom
&SYSTEM
  ibrav = 0, nat = 8, ntyp = 3
/
ATOMIC_SPECIES
Sc 44.96 Sc.upf
Tc 98.00 Tc.upf
Ni 58.69 Ni.upf
CELL_PARAMETERS angstrom
3.912 0.000 0.000
0.000 3.912 0.000
0.000 0.000 7.305
ATOMIC_POSITIONS crystal
Sc 0.000 0.000 0.000
Sc 0.500 0.500 0.500
Tc 0.000 0.000 0.500
Tc 0.500 0.500 0.000
Ni 0.000 0.500 0.250
Ni 0.000 0.500 0.750
Ni 0.500 0.000 0.250
Ni 0.500 0.000 0.750

(13)
! ScTcNi2 | Alexandria | PBE | relaxed; values from VASP
! * calculated formation energy: -0.045 eV/atom
! * crystal system: orthorhombic
! * energy: -7.11 eV per atom
! * offset from the most stable computed form: 114 meV/atom
&SYSTEM
  ibrav = 0, nat = 8, ntyp = 3
/
ATOMIC_SPECIES
Sc 44.96 Sc.upf
Tc 98.00 Tc.upf
Ni 58.69 Ni.upf
CELL_PARAMETERS angstrom
2.804 0.000 0.000
0.000 4.420 0.000
0.000 0.000 9.064
ATOMIC_POSITIONS crystal
Sc 0.000 0.000 0.000
Sc 0.500 0.500 0.500
Tc 0.000 0.500 0.223
Tc 0.500 0.000 0.723
Ni 0.000 0.000 0.487
Ni 0.000 0.500 0.764
Ni 0.500 0.000 0.264
Ni 0.500 0.500 0.987